Entry from Alexandria: crystalline Rb2MnBeF6 at its relaxed geometry (PBE+U).

Calculated values
The calculation puts the density of states at the Fermi level at 0.000 states/eV/cell. The uncorrected energy is -52.2 eV for the cell shown.

Unit cell a=5.5987 b=5.5987 c=5.9950 alpha=62.16 beta=62.16 gamma=90.00
Site moments in Bohr magnetons follow the coordinates.
Element x y z (fractional)
F1 0.2852 0.7148 0.0000  0.02
F2 0.7148 0.2852 0.0000  0.02
F3 0.7714 0.7714 0.4571  0.02
F4 0.2286 0.2286 0.5429  0.02
F5 0.2852 0.2852 0.0000  0.02
F6 0.7148 0.7148 0.0000  0.02
Be1 0.5000 0.5000 0.0000  0.01
Rb1 0.7500 0.2500 0.5000  0.00
Rb2 0.2500 0.7500 0.5000  0.00
Mn1 0.0000 0.0000 0.0000  4.69